This record from the Alexandria database describes a relaxed structure of TaAs. The functional is PBE.

Cell lengths 2.9703, 2.9703, 10.6795 Å; angles 90.00, 90.00, 120.00 degrees
Closest atoms and distances in Å follow each position.
Atoms (fractional coordinates):
Ta1 0.3333 0.6667 0.1169  3 As 2.79, 9 Ta 2.97-3.03
Ta2 0.6667 0.3333 0.8831  3 As 2.79, 9 Ta 2.97-3.03
As1 0.3333 0.6667 0.6767  3 Ta 2.79, 6 As 2.97
As2 0.6667 0.3333 0.3233  3 Ta 2.79, 6 As 2.97

Results
* space-group type: P-3m1, No. 164
* ΔE_f: 0 kJ/mol of formula units

This record from the Alexandria database describes a relaxed structure of LaBH3. The functional is PBE.

Cell lengths 3.4829, 3.4829, 3.4829 Å; angles 90.00, 90.00, 90.00 degrees
Closest atoms and distances in Å follow each position.
Atoms (fractional coordinates):
La1 0.0000 0.0000 0.0000  12 H 2.46
B1 0.5000 0.5000 0.5000  6 H 1.74
H1 0.0000 0.5000 0.5000  2 B 1.74
H2 0.5000 0.0000 0.5000  2 B 1.74
H3 0.5000 0.5000 0.0000  2 B 1.74

Results
* space-group type: Pm-3m, No. 221
* energy above the most stable polymorph in this dataset: 0 meV per atom

This record from the Alexandria database describes a relaxed structure of RbCaRe2P. The functional is PBE.

Cell lengths 4.5376, 4.5376, 5.5158 Å; angles 90.00, 90.00, 90.00 degrees
Closest atoms and distances in Å follow each position.
Atoms (fractional coordinates):
Rb1 0.0000 0.0000 0.0000  4 Ca 3.21, 8 Re 3.57
Ca1 0.5000 0.5000 0.0000  2 P 2.76
Re1 0.0000 0.5000 0.5000  2 P 2.27
Re2 0.5000 0.0000 0.5000  2 P 2.27
P1 0.5000 0.5000 0.5000  4 Re 2.27

Results
* space-group type: P4/mmm, No. 123
* ΔE_f: 384 kJ/mol of formula units

| no. | energy (eV per cell) | N(E_F) (states/eV/atom) | total magnetization (μB per atom) |
| --- | --- | --- | --- |
| 1 | -33.01 | 0.4609 | 0.000 |
| 2 | -21.10 | 0.3932 | 0.000 |
| 3 | -29.30 | 1.4611 | 0.000 |